This record from Alexandria via LeMat-Bulk describes Ba2ErMoO6 after structural relaxation. The functional is PBE+U.

a b c (Å): 10.480 10.480 10.480
angles (deg): 33.80 33.80 33.80
Fractional coordinates of all 20 atoms:
1 Ba 0.135 0.135 0.135
2 Ba 0.277 0.277 0.277
3 Ba 0.723 0.723 0.723
4 Ba 0.865 0.865 0.865
5 Er 0.408 0.408 0.408
6 Er 0.592 0.592 0.592
7 Mo 0.000 0.000 0.000
8 Mo 0.500 0.500 0.500
9 O 0.140 0.619 0.619
10 O 0.190 0.190 0.733
11 O 0.190 0.733 0.190
12 O 0.267 0.810 0.810
13 O 0.381 0.381 0.860
14 O 0.381 0.860 0.381
15 O 0.619 0.140 0.619
16 O 0.619 0.619 0.140
17 O 0.733 0.190 0.190
18 O 0.810 0.267 0.810
19 O 0.810 0.810 0.267
20 O 0.860 0.381 0.381

Properties
- energy (eV/atom) = -7.128


This record from Alexandria via LeMat-Bulk describes Ba3ErMo2O9 after structural relaxation. The functional is PBE+U.

a b c (Å): 5.965 5.965 7.241
angles (deg): 90.00 90.00 120.00
Fractional coordinates of all 15 atoms:
1 Ba 0.000 0.000 0.000
2 Ba 0.333 0.667 0.669
3 Ba 0.667 0.333 0.331
4 Er 0.000 0.000 0.500
5 Mo 0.333 0.667 0.163
6 Mo 0.667 0.333 0.837
7 O 0.000 0.500 0.000
8 O 0.174 0.347 0.320
9 O 0.174 0.826 0.320
10 O 0.347 0.174 0.680
11 O 0.500 0.000 0.000
12 O 0.500 0.500 0.000
13 O 0.653 0.826 0.320
14 O 0.826 0.174 0.680
15 O 0.826 0.653 0.680

Properties
- energy (eV/atom) = -7.156


This record from Alexandria via LeMat-Bulk describes BaErMo2O8 after structural relaxation. The functional is PBE+U.

a b c (Å): 5.972 5.972 7.505
angles (deg): 90.00 90.00 120.00
Fractional coordinates of all 12 atoms:
1 Ba 0.000 0.000 0.000
2 Er 0.000 0.000 0.500
3 Mo 0.333 0.667 0.233
4 Mo 0.667 0.333 0.767
5 O 0.164 0.328 0.307
6 O 0.164 0.836 0.307
7 O 0.328 0.164 0.693
8 O 0.333 0.667 0.995
9 O 0.667 0.333 0.005
10 O 0.672 0.836 0.307
11 O 0.836 0.164 0.693
12 O 0.836 0.672 0.693

Properties
- energy (eV/atom) = -7.293


This record from Alexandria via LeMat-Bulk describes BaErMoO6 after structural relaxation. The functional is PBE+U.

a b c (Å): 5.685 5.685 5.609
angles (deg): 90.63 90.63 121.42
Fractional coordinates of all 9 atoms:
1 Ba 0.000 0.000 0.000
2 Er 0.667 0.333 0.500
3 Mo 0.343 0.657 0.500
4 O 0.033 0.405 0.298
5 O 0.039 0.636 0.700
6 O 0.361 0.396 0.696
7 O 0.364 0.961 0.300
8 O 0.595 0.967 0.702
9 O 0.604 0.639 0.304

Properties
- energy (eV/atom) = -7.122


This record from Alexandria via LeMat-Bulk describes Ba2ErMoO6 after structural relaxation. The functional is PBE+U.

a b c (Å): 5.978 5.978 5.978
angles (deg): 119.34 119.34 91.14
Fractional coordinates of all 10 atoms:
1 Ba 0.250 0.750 0.500
2 Ba 0.750 0.250 0.500
3 Er 0.000 0.000 0.000
4 Mo 0.500 0.500 0.000
5 O 0.260 0.260 0.520
6 O 0.260 0.740 0.000
7 O 0.267 0.267 0.000
8 O 0.733 0.733 0.000
9 O 0.740 0.260 0.000
10 O 0.740 0.740 0.480

Properties
- energy (eV/atom) = -7.256


What is the energy in the third record? -7.293 eV/atom


Look up the energy of the third one. -7.293 eV/atom


The lowest energy belongs to which entry? BaErMo2O8